Record 1
# HgBiTe

A geometry-optimized HgBiTe structure (PBE, the Alexandria database).

The structure in POSCAR format:
```
HgBiTe
1.0
3.9545 0.0000 0.0000
0.0000 3.9545 0.0000
-1.9772 -1.9772 6.4393
Bi Te Hg
1 1 1
Direct
0.3092 0.3092 0.6183 Bi
0.6983 0.6983 0.3967 Te
0.9925 0.9925 0.9850 Hg
```

Summary:
**ΔE_f (raw)**: 0.10 eV per formula unit
**Excess energy over the best structure of this formula in the dataset**: 6.33 kJ per mole of atoms
**Energy**: -2.41 eV/atom

Record 2
# Ho5Tm3As8

A geometry-optimized Ho5Tm3As8 structure (PBE, the Alexandria database).

The structure in POSCAR format:
```
Ho5Tm3As8
1.0
-8.1216 -0.5054 0.7394
-3.8315 -7.0061 -1.7312
-3.2854 -4.4530 6.0116
As Tm Ho
8 3 5
Direct
0.7516 0.2500 0.2500 As
0.2484 0.7500 0.7500 As
0.2500 0.7516 0.2500 As
0.2500 0.2500 0.7516 As
0.7508 0.7508 0.7508 As
0.7500 0.7500 0.2484 As
0.2492 0.2492 0.2492 As
0.7500 0.2484 0.7500 As
0.5000 0.0000 0.0000 Tm
0.0000 0.0000 0.5000 Tm
0.0000 0.5000 0.0000 Tm
0.5000 0.5000 0.5000 Ho
0.5000 0.5000 0.0000 Ho
0.0000 0.0000 0.0000 Ho
0.0000 0.5000 0.5000 Ho
0.5000 0.0000 0.5000 Ho
```

Summary:
**Energy of formation from the pure elements**: -1520 meV per atom
**Energy**: -6.11 eV/atom

Record 3
# Li2NbTcRu

A geometry-optimized Li2NbTcRu structure (PBE, the Alexandria database).

The structure in POSCAR format:
```
Li2NbTcRu
1.0
4.2703 0.0000 0.0000
0.0000 4.5902 0.0000
0.0000 0.0000 4.2703
Li Tc Ru Nb
2 1 1 1
Direct
0.5000 0.0000 0.0000 Li
0.0000 0.0000 0.5000 Li
0.0000 0.0000 0.0000 Tc
0.0000 0.5000 0.0000 Ru
0.5000 0.5000 0.5000 Nb
```

Summary:
**Energy of formation from the pure elements**: 1228 meV per atom
**Energy**: -5.48 eV/atom

Record 4
# Er2ZnGe3Pt4

A geometry-optimized Er2ZnGe3Pt4 structure (PBE, the Alexandria database).

The structure in POSCAR format:
```
Er2ZnGe3Pt4
1.0
-1.8907 -2.1157 -3.0877
3.6274 -1.8891 -0.9267
-2.3147 -7.7424 6.7226
Ge Pt Er Zn
3 4 2 1
Direct
0.0000 0.5000 0.1346 Ge
0.5000 0.0000 0.8654 Ge
0.0000 0.0000 0.5000 Ge
0.0000 0.5000 0.3621 Pt
0.5000 0.5000 0.0000 Pt
0.0000 0.0000 0.0000 Pt
0.5000 0.0000 0.6379 Pt
0.0000 0.5000 0.7452 Er
0.5000 0.0000 0.2548 Er
0.5000 0.5000 0.5000 Zn
```

Summary:
**Energy of formation from the pure elements**: -855 meV per atom
**Energy**: -5.70 eV/atom

Record 5
# KTl2AuO

A geometry-optimized KTl2AuO structure (PBE, the Alexandria database).

The structure in POSCAR format:
```
KTl2AuO
1.0
-2.1124 3.0369 1.9490
4.5666 -3.2477 5.5246
5.9549 5.3011 -1.8060
Au Tl O K
2 4 2 2
Direct
0.7249 0.4498 0.7500 Au
0.2751 0.5502 0.2500 Au
0.8498 0.6995 0.0274 Tl
0.8498 0.6995 0.4726 Tl
0.1502 0.3005 0.9726 Tl
0.1502 0.3005 0.5274 Tl
0.0000 0.0000 0.0000 O
0.0000 0.0000 0.5000 O
0.4842 0.9685 0.7500 K
0.5158 0.0315 0.2500 K
```

Summary:
**ΔE_f (raw)**: -2.67 eV per formula unit
**Energy**: -3.35 eV/atom

Record 6
# Sr2ZnAs

A geometry-optimized Sr2ZnAs structure (PBE, the Alexandria database).

The structure in POSCAR format:
```
Sr2ZnAs
1.0
-2.8132 -1.6494 2.0406
2.3669 -3.2148 0.6644
4.9767 -0.0193 6.8452
Sr Zn As
2 1 1
Direct
0.0000 0.0203 0.9791 Sr
0.0000 0.4797 0.5209 Sr
0.5000 0.2500 0.2500 Zn
0.5000 0.7500 0.7500 As
```

Summary:
**Energy of formation from the pure elements**: -616 meV per atom
**Excess energy over the best structure of this formula in the dataset**: 8.85 kJ per mole of atoms
**Energy**: -2.94 eV/atom

Record 7
# KMn2SnCl8

A geometry-optimized KMn2SnCl8 structure (PBE, the Alexandria database).

The structure in POSCAR format:
```
KMn2SnCl8
1.0
6.6495 0.0000 0.0000
-3.3248 5.7586 0.0000
0.0000 0.0000 9.5308
Cl Mn K Sn
8 2 1 1
Direct
0.0063 0.3238 0.6758 Cl
0.6762 0.6825 0.6758 Cl
0.9937 0.6762 0.3242 Cl
0.6825 0.0063 0.3242 Cl
0.3238 0.3175 0.3242 Cl
0.3175 0.9937 0.6758 Cl
0.3333 0.6667 0.9852 Cl
0.6667 0.3333 0.0148 Cl
0.6667 0.3333 0.2504 Mn
0.3333 0.6667 0.7496 Mn
0.0000 0.0000 0.0000 K
0.0000 0.0000 0.5000 Sn
```

Summary:
**ΔE_f (raw)**: -13.76 eV per formula unit
**Energy**: -4.33 eV/atom

Record 8
# La2TbNdIn2

A geometry-optimized La2TbNdIn2 structure (PBE, the Alexandria database).

The structure in POSCAR format:
```
La2TbNdIn2
1.0
5.2502 0.0000 0.0000
0.0000 6.9081 0.0000
0.0000 0.0000 10.3487
Nd La In Tb
2 4 4 2
Direct
0.0000 0.4563 0.5417 Nd
0.0000 0.9563 0.4583 Nd
0.0000 0.3113 0.1781 La
0.0000 0.8113 0.8219 La
0.5000 0.0817 0.0573 La
0.5000 0.5817 0.9427 La
0.0000 0.7959 0.1470 In
0.5000 0.2196 0.3797 In
0.0000 0.2959 0.8530 In
0.5000 0.7196 0.6203 In
0.5000 0.6809 0.3100 Tb
0.5000 0.1809 0.6900 Tb
```

Summary:
**Energy of formation from the pure elements**: -358 meV per atom
**Energy**: -4.48 eV/atom

> Number 3 is which compound?

Li2NbTcRu